Be2GaAg after structural relaxation. Source: the Alexandria database, functional GGA-PBEsol.

It has space group I-42d (No. 122), with a = 6.7023 Å, b = 6.7023 Å, c = 4.9626 Å, α = 90.00°, β = 90.00° and γ = 90.00°. The distinct sites, in fractional coordinates, are Be at (0.2494, 0.7500, 0.1250), Ga at (0.0000, 0.0000, 0.5000) and Ag at (0.0000, 0.0000, 0.0000).

For the total energy, the calculation gives -3.09 eV per atom. The volume is 13.933 A^3/atom. For the density of states at the Fermi level, the calculation gives 0.338 states/eV/atom. Its total magnetization is 0.0 Bohr magnetons per cell.



BaNb2CuRu after structural relaxation. Source: the Alexandria database, functional GGA-PBEsol.

It has space group P4/mmm (No. 123), with a = 4.9955 Å, b = 4.9955 Å, c = 4.8002 Å, α = 90.00°, β = 90.00° and γ = 90.00°. The distinct sites, in fractional coordinates, are Ba at (0.0000, 0.0000, 0.0000), Nb at (0.0000, 0.5000, 0.0000), Cu at (0.5000, 0.5000, 0.5000) and Ru at (0.0000, 0.0000, 0.5000).

For the total energy, the calculation gives -4.83 eV per atom. The volume is 23.958 A^3/atom. For the density of states at the Fermi level, the calculation gives 1.257 states/eV/atom. Its total magnetization is 0.0 Bohr magnetons per cell.



Question: The lowest density of states at the Fermi level belongs to which entry?
Answer: Be2GaAg



Question: Which value of density of states at the Fermi level does entry 1 give?
Answer: 0.338 states/eV/atom